Entry from Alexandria via LeMat-Bulk: CaFeSb after structural relaxation (GGA-PBE).

Structure (POSCAR):
```
CaFeSb
1.0
4.4375 0.0000 0.0000
-2.2188 3.8430 0.0000
0.0000 0.0000 4.2449
Ca Fe Sb
1 1 1
Direct
0.0000 0.0000 0.0000
0.6667 0.3333 0.5000
0.3333 0.6667 0.5000
```

Properties
Calculated total energy in eV per formula unit: -15.27

=====

Entry from Alexandria via LeMat-Bulk: YTmSnAu after structural relaxation (GGA-PBE).

Structure (POSCAR):
```
YTmSnAu
1.0
7.3405 0.0000 0.0000
0.0000 7.3405 0.0000
0.0000 0.0000 7.3405
Y Tm Sn Au
4 4 4 4
Direct
0.0000 0.0000 0.0000
0.0000 0.5000 0.5000
0.5000 0.0000 0.5000
0.5000 0.5000 0.0000
0.0000 0.0000 0.5000
0.0000 0.5000 0.0000
0.5000 0.0000 0.0000
0.5000 0.5000 0.5000
0.2500 0.2500 0.2500
0.2500 0.7500 0.7500
0.7500 0.2500 0.7500
0.7500 0.7500 0.2500
0.2500 0.2500 0.7500
0.2500 0.7500 0.2500
0.7500 0.2500 0.2500
0.7500 0.7500 0.7500
```

Properties
Energy of formation from the pure elements in meV per atom: -714.4
Calculated total energy in eV per formula unit: -21.07

=====

Entry from Alexandria via LeMat-Bulk: CsAgPd2 after structural relaxation (GGA-PBE).

Structure (POSCAR):
```
CsAgPd2
1.0
7.0792 0.0000 0.0000
0.0000 7.0792 0.0000
0.0000 0.0000 7.0792
Cs Ag Pd
4 4 8
Direct
0.0000 0.0000 0.0000
0.0000 0.5000 0.5000
0.5000 0.0000 0.5000
0.5000 0.5000 0.0000
0.0000 0.0000 0.5000
0.0000 0.5000 0.0000
0.5000 0.0000 0.0000
0.5000 0.5000 0.5000
0.2500 0.2500 0.2500
0.2500 0.2500 0.7500
0.2500 0.7500 0.2500
0.2500 0.7500 0.7500
0.7500 0.2500 0.2500
0.7500 0.2500 0.7500
0.7500 0.7500 0.2500
0.7500 0.7500 0.7500
```

Properties
Energy of formation from the pure elements in meV per atom: 474.0
Distance to the lowest polymorph of the same formula in eV per formula unit: 0.58
Calculated total energy in eV per formula unit: -12.19

=====

Entry from Alexandria via LeMat-Bulk: GaSbTe2I after structural relaxation (GGA-PBE).

Structure (POSCAR):
```
GaSbTe2I
1.0
5.3577 0.0000 0.0000
0.0000 5.3577 0.0000
0.0000 0.0000 5.6243
Ga Sb Te I
1 1 2 1
Direct
0.0000 0.0000 0.0000
0.0000 0.0000 0.5000
0.0000 0.5000 0.0000
0.5000 0.0000 0.0000
0.5000 0.5000 0.5000
```

Properties
Distance to the lowest polymorph of the same formula in eV per formula unit: 0.84
Calculated total energy in eV per formula unit: -12.98